# AlOsAu2

An optimized crystal structure of AlOsAu2 (PBEsol, Alexandria).

Cell: 2.795 4.640 5.574 Å, 114.35 104.13 90.90°
Fractional coordinates of all 4 atoms:
Os (0.500, 0.000, 0.000)
Au (0.000, 0.000, 0.500)
Au (0.500, 0.500, 0.500)
Al (0.000, 0.500, 0.000)

Results
The energy of formation from the pure elements comes out at 196 meV per atom.